# VMo3Se PBE relaxed
data_VMo3Se
_chemical_formula_sum 'V1 Mo3 Se1'
_cell_length_a 4.570
_cell_length_b 4.570
_cell_length_c 4.570
_cell_angle_alpha 90.00
_cell_angle_beta 90.00
_cell_angle_gamma 90.00
_symmetry_space_group_name_H-M 'P m -3 m'
_symmetry_Int_Tables_number 221
_symmetry_space_group_name_Hall '-P 4 2 3'
loop_
_atom_site_label
_atom_site_fract_x
_atom_site_fract_y
_atom_site_fract_z
_atom_site_occupancy
V1 0.000 0.000 0.000 1
Mo1 0.000 0.000 0.500 1
Se1 0.500 0.500 0.500 1
# **Energy relative to the lowest polymorph listed for this composition**: 183 meV per atom
# **Energy relative to the elements, uncorrected**: 1.40 eV/atom